No. 1
DFT (PBE) results for a relaxed structure of Ba2CdTcS6.

The total magnetization is 1.2 μB/f.u. Its theoretical density is 4.67 g/cm3. Its total DFT energy (no corrections) is -48.6 eV for the cell shown. The volume comes out at 241.0 Å³ per cell.

It has space group P-1 (No. 2), with a = 6.493 Å, b = 6.753 Å, c = 7.050 Å, α = 66.24°, β = 63.95° and γ = 64.00°. The inequivalent atoms are Ba at (0.249, 0.258, 0.242), Cd at (0.000, 0.000, 0.000), Tc at (0.500, 0.500, 0.500), S at (0.189, 0.749, 0.327), S at (0.265, 0.657, 0.814) and S at (0.319, 0.209, 0.685).


No. 2
DFT (PBE) results for a relaxed structure of Ba2CdTcS6.

The total magnetization is 1.2 μB/f.u. Its theoretical density is 4.67 g/cm3. Its total DFT energy (no corrections) is -97.2 eV for the cell shown. The volume comes out at 481.6 Å³ per cell.

It has space group C2/m (No. 12), with a = 12.131 Å, b = 6.481 Å, c = 7.575 Å, α = 90.00°, β = 126.04° and γ = 90.00°. The inequivalent atoms are Ba at (0.249, 0.000, 0.257), Cd at (0.000, 0.000, 0.500), Tc at (0.000, 0.500, 0.000), S at (0.047, 0.247, 0.822) and S at (0.236, 0.500, 0.316).


No. 3
DFT (PBE) results for a relaxed structure of Ba2CdTcS6.

The total magnetization is 1.0 μB/f.u. Its theoretical density is 4.65 g/cm3. Its total DFT energy (no corrections) is -97.1 eV for the cell shown. The volume comes out at 483.6 Å³ per cell.

It has space group I4/m (No. 87), with a = 6.790 Å, b = 6.790 Å, c = 10.489 Å, α = 90.00°, β = 90.00° and γ = 90.00°. The inequivalent atoms are Ba at (0.000, 0.500, 0.250), Cd at (0.000, 0.000, 0.000), Tc at (0.000, 0.000, 0.500), S at (0.000, 0.000, 0.267) and S at (0.173, 0.698, 0.500).


No. 4
DFT (PBE) results for a relaxed structure of Ba2CdTeS6.

Its theoretical density is 4.47 g/cm3. Its total DFT energy (no corrections) is -160.7 eV for the cell shown. The volume comes out at 1050.1 Å³ per cell.

It has space group Fm-3m (No. 225), with a = 10.164 Å, b = 10.164 Å, c = 10.164 Å, α = 90.00°, β = 90.00° and γ = 90.00°. The inequivalent atoms are Ba at (0.250, 0.250, 0.250), Cd at (0.000, 0.000, 0.000), Te at (0.000, 0.000, 0.500) and S at (0.000, 0.000, 0.254).


No. 5
DFT (PBE) results for a relaxed structure of BaZnCdS3.

Its theoretical density is 4.79 g/cm3. Its total DFT energy (no corrections) is -88.5 eV for the cell shown. The volume comes out at 570.0 Å³ per cell.

It has space group Cmcm (No. 63), with a = 4.073 Å, b = 13.817 Å, c = 10.129 Å, α = 90.00°, β = 90.00° and γ = 90.00°. The inequivalent atoms are Ba at (0.000, 0.243, 0.250), Zn at (0.000, 0.000, 0.000), Cd at (0.000, 0.479, 0.750), S at (0.000, 0.084, 0.750) and S at (0.000, 0.376, 0.547).


No. 6
DFT (PBE) results for a relaxed structure of BaZnCdS3.

Its theoretical density is 4.79 g/cm3. Its total DFT energy (no corrections) is -92.3 eV for the cell shown. The volume comes out at 570.7 Å³ per cell.

It has space group Cmcm (No. 63), with a = 4.033 Å, b = 13.586 Å, c = 10.415 Å, α = 90.00°, β = 90.00° and γ = 90.00°. The inequivalent atoms are Ba at (0.000, 0.248, 0.250), Zn at (0.000, 0.033, 0.750), Cd at (0.000, 0.500, 0.000), S at (0.000, 0.131, 0.565) and S at (0.000, 0.434, 0.750).


No. 7
DFT (PBE) results for a relaxed structure of Ba2ZrCdS6.

The total magnetization is 0.0 μB/f.u. Its theoretical density is 4.24 g/cm3. Its total DFT energy (no corrections) is -200.5 eV for the cell shown. The volume comes out at 1050.2 Å³ per cell.

It has space group Fm-3m (No. 225), with a = 10.165 Å, b = 10.165 Å, c = 10.165 Å, α = 90.00°, β = 90.00° and γ = 90.00°. The inequivalent atoms are Ba at (0.250, 0.250, 0.250), Zr at (0.000, 0.000, 0.000), Cd at (0.000, 0.000, 0.500) and S at (0.000, 0.000, 0.247).


No. 8
DFT (PBE) results for a relaxed structure of BaCdSb2.

Its theoretical density is 6.47 g/cm3. Its total DFT energy (no corrections) is -48.4 eV for the cell shown. The volume comes out at 506.0 Å³ per cell.

It has space group F-43m (No. 216), with a = 7.969 Å, b = 7.969 Å, c = 7.969 Å, α = 90.00°, β = 90.00° and γ = 90.00°. The inequivalent atoms are Ba at (0.000, 0.000, 0.000), Cd at (0.250, 0.250, 0.250), Sb at (0.000, 0.000, 0.500) and Sb at (0.250, 0.250, 0.750).